The following is a DFT calculation (PBE) of a relaxed Sb2PS4 crystal.

- SG: I4/mmm (139)
- Spin magnetization: 0.00 μB/f.u.
- Density: 4.620 g cm⁻³
- Formation energy without anion corrections: 0.16 eV/atom

```
7
Lattice="-2.524 2.406 2.939 0.305 -3.389 3.036 4.669 2.373 5.605" Properties=species:S:1:pos:R:3 pbc="T T T"
Sb 2.000 1.108 7.886
Sb 0.450 0.282 3.694
S -0.239 -0.002 6.872
S 2.689 1.391 4.708
S 0.152 -1.695 1.518
S -1.262 1.203 1.470
P 0.000 0.000 0.000
```